First-principles (GGA-PBE) data for a geometry-optimized SrDyLuMg structure, as listed in Alexandria.

## Properties
Total magnetic moment: 0.00 μB per formula unit
Calculated formation energy: 0.16 eV/atom

a = 5.6821 Å, b = 5.6821 Å, c = 5.6821 Å
α = 60.00°, β = 60.00°, γ = 60.00°
Fractional positions:
Sr 0.7500 0.7500 0.7500
Mg 0.0000 0.0000 0.0000
Lu 0.5000 0.5000 0.5000
Dy 0.2500 0.2500 0.2500



First-principles (GGA-PBE) data for a geometry-optimized HoLuTc4 structure, as listed in Alexandria.

## Properties
Total magnetic moment: 0.00 μB per formula unit
Calculated formation energy: -0.20 eV/atom

a = 5.3720 Å, b = 5.3720 Å, c = 5.3720 Å
α = 60.00°, β = 60.00°, γ = 60.00°
Fractional positions:
Lu 0.0000 0.0000 0.0000
Ho 0.2500 0.2500 0.2500
Tc 0.6251 0.6251 0.1248
Tc 0.6251 0.1248 0.6251
Tc 0.6251 0.6251 0.6251
Tc 0.1248 0.6251 0.6251



First-principles (GGA-PBE) data for a geometry-optimized LiSc2CoC structure, as listed in Alexandria.

## Properties
Total magnetic moment: 0.00 μB per formula unit
Calculated formation energy: -0.28 eV/atom

a = 4.6004 Å, b = 4.6004 Å, c = 3.6296 Å
α = 90.00°, β = 90.00°, γ = 90.00°
Fractional positions:
Sc 0.0000 0.5000 0.0000
Sc 0.5000 0.0000 0.0000
C 0.0000 0.0000 0.0000
Co 0.0000 0.0000 0.5000
Li 0.5000 0.5000 0.5000



First-principles (GGA-PBE) data for a geometry-optimized ScZnInF6 structure, as listed in Alexandria.

## Properties
Total magnetic moment: 0.00 μB per formula unit
E_form (uncorrected): -2.893 eV per atom

a = 5.5724 Å, b = 5.5725 Å, c = 5.8383 Å
α = 90.00°, β = 90.00°, γ = 59.99°
Fractional positions:
Sc 0.6666 0.6667 0.5000
Zn 0.3333 0.3333 0.5000
In 0.0000 0.0000 0.0000
F 0.9957 0.3867 0.3081
F 0.3866 0.9958 0.6919
F 0.6176 0.3867 0.6919
F 0.9957 0.6176 0.6919
F 0.3867 0.6176 0.3081
F 0.6176 0.9957 0.3081



First-principles (GGA-PBE) data for a geometry-optimized Mg2ZrW structure, as listed in Alexandria.

## Properties
Total magnetic moment: 0.00 μB per formula unit
Calculated formation energy: 0.29 eV/atom
Relative energy among the computed polymorphs: 0.090 eV per atom

a = 2.8134 Å, b = 2.8134 Å, c = 10.0530 Å
α = 90.00°, β = 90.00°, γ = 103.42°
Fractional positions:
Mg 0.0000 0.0000 0.0217
Mg 0.0000 0.0000 0.4783
W 0.5000 0.5000 0.2500
Zr 0.5000 0.5000 0.7500



First-principles (GGA-PBE) data for a geometry-optimized Li2NiRu structure, as listed in Alexandria.

## Properties
Total magnetic moment: 1.67 μB per formula unit
Calculated formation energy: 0.21 eV/atom
Relative energy among the computed polymorphs: 0.164 eV per atom

a = 4.8975 Å, b = 4.8975 Å, c = 4.8975 Å
α = 138.27°, β = 138.27°, γ = 60.49°
Fractional positions:
Li 0.0000 0.0000 0.0000
Li 0.5000 0.5000 0.0000
Ni 0.7500 0.2500 0.5000
Ru 0.2500 0.7500 0.5000



First-principles (GGA-PBE) data for a geometry-optimized Mo2PCl structure, as listed in Alexandria.

## Properties
Total magnetic moment: 0.00 μB per formula unit
Relative energy among the computed polymorphs: 0.224 eV per atom
E_form (uncorrected): 0.137 eV per atom

a = 2.8739 Å, b = 4.0703 Å, c = 6.3603 Å
α = 90.00°, β = 90.00°, γ = 90.00°
Fractional positions:
Cl 0.5000 0.5000 0.8591
Mo 0.0000 0.0000 0.0253
Mo 0.5000 0.5000 0.2330
P 0.0000 0.0000 0.3826



First-principles (GGA-PBE) data for a geometry-optimized BaZr2TiNi structure, as listed in Alexandria.

## Properties
Total magnetic moment: 0.00 μB per formula unit
Calculated formation energy: 1.17 eV/atom

a = 4.9393 Å, b = 5.9070 Å, c = 4.9393 Å
α = 90.00°, β = 90.00°, γ = 90.00°
Fractional positions:
Ni 0.5000 0.5000 0.5000
Ba 0.0000 0.5000 0.0000
Zr 0.0000 0.0000 0.5000
Zr 0.5000 0.0000 0.0000
Ti 0.0000 0.0000 0.0000



First-principles (GGA-PBE) data for a geometry-optimized NaZnCdBi structure, as listed in Alexandria.

## Properties
Total magnetic moment: 0.00 μB per formula unit
Calculated formation energy: -0.01 eV/atom

a = 5.2339 Å, b = 5.2339 Å, c = 5.2339 Å
α = 60.00°, β = 60.00°, γ = 60.00°
Fractional positions:
Na 0.0000 0.0000 0.0000
Zn 0.2500 0.2500 0.2500
Bi 0.5000 0.5000 0.5000
Cd 0.7500 0.7500 0.7500



First-principles (GGA-PBE) data for a geometry-optimized PPbS2F structure, as listed in Alexandria.

## Properties
Total magnetic moment: 0.00 μB per formula unit
Relative energy among the computed polymorphs: 0.000 eV per atom
E_form (uncorrected): 0.369 eV per atom

a = 5.7204 Å, b = 5.7204 Å, c = 3.8077 Å
α = 90.00°, β = 90.00°, γ = 90.00°
Fractional positions:
Pb 0.5000 0.5000 0.5000
P 0.0000 0.0000 0.5000
S 0.0000 0.5000 0.0000
S 0.5000 0.0000 0.0000
F 0.0000 0.0000 0.0000



First-principles (GGA-PBE) data for a geometry-optimized PrTmMgRh structure, as listed in Alexandria.

## Properties
Total magnetic moment: 0.00 μB per formula unit
Calculated formation energy: -0.35 eV/atom

a = 5.1254 Å, b = 5.1254 Å, c = 5.1254 Å
α = 60.00°, β = 60.00°, γ = 60.00°
Fractional positions:
Pr 0.7500 0.7500 0.7500
Mg 0.0000 0.0000 0.0000
Tm 0.2500 0.2500 0.2500
Rh 0.5000 0.5000 0.5000



First-principles (GGA-PBE) data for a geometry-optimized P2PdPt7Pb2 structure, as listed in Alexandria.

## Properties
Total magnetic moment: 0.00 μB per formula unit
Calculated formation energy: -0.29 eV/atom

a = 3.9213 Å, b = 3.9213 Å, c = 15.2803 Å
α = 82.61°, β = 82.61°, γ = 90.02°
Fractional positions:
P 0.6135 0.6135 0.7721
P 0.3865 0.3865 0.2279
Pd 0.0000 0.0000 0.0000
Pt 0.5000 0.5000 0.0000
Pt 0.3101 0.3101 0.3794
Pt 0.6899 0.6899 0.6206
Pt 0.9307 0.4308 0.1400
Pt 0.4308 0.9307 0.1400
Pt 0.5692 0.0693 0.8600
Pt 0.0693 0.5692 0.8600
Pb 0.7889 0.7889 0.4218
Pb 0.2111 0.2111 0.5782



> Which value of total magnetic moment does entry 10 give?

0.00 μB per formula unit